[1]
The following is a DFT calculation (PBE) of a relaxed structure of PaAlNiOs.

a = 4.5980 Å, b = 4.5980 Å, c = 4.5980 Å
α = 60.00°, β = 60.00°, γ = 60.00°
Closest atoms and distances in Å follow each position.
Fractional positions:
Pa 0.0000 0.0000 0.0000  4 Os 2.82, 4 Ni 2.82
Al 0.5000 0.5000 0.5000  4 Os 2.82, 4 Ni 2.82
Ni 0.2500 0.2500 0.2500  4 Al 2.82, 4 Pa 2.82
Os 0.7500 0.7500 0.7500  4 Al 2.82, 4 Pa 2.82

## Properties
Space group   No. 216
ΔH_f (0 K)   -315.4 meV/atom
V   17.18 A^3/atom

***

[2]
The following is a DFT calculation (PBE) of a relaxed structure of Sr2CeIO8.

a = 5.2791 Å, b = 5.2791 Å, c = 7.1621 Å
α = 90.00°, β = 90.00°, γ = 92.89°
Closest atoms and distances in Å follow each position.
Fractional positions:
Sr 0.0000 0.0000 0.2408  6 O 2.46-2.55
Sr 0.0000 0.0000 0.7592  6 O 2.46-2.55
Ce 0.5000 0.5000 0.5000  2 O 2.02
I 0.5000 0.5000 0.0000  6 O 1.87-1.92
O 0.2225 0.2225 0.5000  1 Ce 2.02
O 0.2432 0.2432 0.0000  1 I 1.87
O 0.3311 0.6689 0.1978  1 I 1.92
O 0.3311 0.6689 0.8022  1 I 1.92
O 0.6689 0.3311 0.1978  1 I 1.92
O 0.6689 0.3311 0.8022  1 I 1.92
O 0.7568 0.7568 0.0000  1 I 1.87
O 0.7775 0.7775 0.5000  1 Ce 2.02

## Properties
Formation energy (no corrections)   -1899 meV per atom
Space group   No. 65
V   16.61 A^3/atom

***

[3]
The following is a DFT calculation (PBE) of a relaxed structure of LaPuTe2N.

a = 4.1216 Å, b = 4.1216 Å, c = 16.6744 Å
α = 90.00°, β = 90.00°, γ = 90.00°
Closest atoms and distances in Å follow each position.
Fractional positions:
La 0.2500 0.2500 0.1479  5 Te 3.06-3.14
La 0.7500 0.7500 0.8521  5 Te 3.06-3.14
Pu 0.2500 0.2500 0.5610  4 N 2.30
Pu 0.7500 0.7500 0.4390  4 N 2.30
Te 0.2500 0.2500 0.3314  1 La 3.06, 4 Pu 3.42
Te 0.2500 0.2500 0.9220  4 La 3.14
Te 0.7500 0.7500 0.0780  4 La 3.14
Te 0.7500 0.7500 0.6686  1 La 3.06, 4 Pu 3.42
N 0.2500 0.7500 0.5000  4 Pu 2.30
N 0.7500 0.2500 0.5000  4 Pu 2.30

## Properties
Formation energy (no corrections)   -1250 meV per atom
Space group   No. 129
V   28.33 A^3/atom

***

[4]
The following is a DFT calculation (PBE) of a relaxed structure of MgTiBr2.

a = 4.9844 Å, b = 4.9844 Å, c = 4.9844 Å
α = 60.00°, β = 60.00°, γ = 60.00°
Closest atoms and distances in Å follow each position.
Fractional positions:
Mg 0.0000 0.0000 0.0000  8 Br 3.05
Ti 0.5000 0.5000 0.5000  8 Br 3.05
Br 0.2500 0.2500 0.2500  4 Mg 3.05, 4 Ti 3.05
Br 0.7500 0.7500 0.7500  4 Mg 3.05, 4 Ti 3.05

## Properties
Formation energy (no corrections)   -156 meV per atom
Space group   No. 225
V   21.89 A^3/atom

***

[5]
The following is a DFT calculation (PBE) of a relaxed structure of DySc2O4.

a = 6.4668 Å, b = 6.4668 Å, c = 6.4668 Å
α = 119.97°, β = 119.97°, γ = 90.06°
Closest atoms and distances in Å follow each position.
Fractional positions:
Dy 0.3750 0.6250 0.7500  4 O 2.17
Dy 0.6250 0.3750 0.2500  4 O 2.17
Sc 0.0000 0.0000 0.0000  6 O 2.18
Sc 0.0000 0.0000 0.5000  6 O 2.18
Sc 0.0000 0.5000 0.0000  6 O 2.18
Sc 0.5000 0.0000 0.5000  6 O 2.18
O 0.2145 0.2383 0.9762  1 Dy 2.17, 3 Sc 2.18
O 0.2383 0.2145 0.4762  1 Dy 2.17, 3 Sc 2.18
O 0.2383 0.7621 0.0238  1 Dy 2.17, 3 Sc 2.18
O 0.2379 0.7617 0.4762  1 Dy 2.17, 3 Sc 2.18
O 0.7621 0.2383 0.5238  1 Dy 2.17, 3 Sc 2.18
O 0.7617 0.2379 0.9762  1 Dy 2.17, 3 Sc 2.18
O 0.7617 0.7855 0.5238  1 Dy 2.17, 3 Sc 2.18
O 0.7855 0.7617 0.0238  1 Dy 2.17, 3 Sc 2.18

## Properties
Formation energy (no corrections)   -3287 meV per atom
Space group   No. 141
V   13.67 A^3/atom

***

[6]
The following is a DFT calculation (PBE) of a relaxed structure of YMnCr2N.

a = 4.0517 Å, b = 4.0517 Å, c = 3.9991 Å
α = 90.00°, β = 90.00°, γ = 90.00°
Closest atoms and distances in Å follow each position.
Fractional positions:
Y 0.0000 0.0000 0.0000  8 Cr 2.85, 4 Mn 2.87
Mn 0.5000 0.5000 0.0000  2 N 2.00
Cr 0.0000 0.5000 0.5000  2 N 2.03
Cr 0.5000 0.0000 0.5000  2 N 2.03
N 0.5000 0.5000 0.5000  2 Mn 2.00, 4 Cr 2.03

## Properties
Formation energy (no corrections)   25 meV per atom
Space group   No. 123
V   13.13 A^3/atom